1.
Computed, not measured: a crystal of YMnP relaxed with PBEsol at the SCAN level of DFT.

## Properties
DOS(E_F) = 4.61 states/eV per cell
Total magnetization = 0.00 μB per formula unit
DFT formation energy = -0.395 eV per atom
Total energy = -19.227 eV/atom

Cell: 3.0379 3.0379 10.0812 Å, 90.00 90.00 90.00°
Space group I4mm (No. 107)
Asymmetric unit:
Y 0.0000 0.0000 0.0000
Mn 0.0000 0.0000 0.2951
P 0.0000 0.0000 0.7056



2.
Computed, not measured: a crystal of YMn2P2 relaxed with PBEsol at the SCAN level of DFT.

## Properties
DOS(E_F) = 2.32 states/eV per cell
Total magnetization = 4.83 μB per formula unit
DFT formation energy = -1.003 eV per atom
Total energy = -18.034 eV/atom

Cell: 3.7599 3.7599 6.4169 Å, 90.00 90.00 120.00°
Space group P-3m1 (No. 164)
Asymmetric unit:
Y 0.0000 0.0000 0.0000
Mn 0.3333 0.6667 0.6258
P 0.3333 0.6667 0.2774



3.
Computed, not measured: a crystal of YMnP3 relaxed with PBEsol at the SCAN level of DFT.

## Properties
DOS(E_F) = 3.58 states/eV per cell
Total magnetization = 2.99 μB per formula unit
DFT formation energy = -0.333 eV per atom
Total energy = -15.792 eV/atom

Cell: 4.4521 4.4521 4.4521 Å, 90.00 90.00 90.00°
Space group Pm-3m (No. 221)
Asymmetric unit:
Y 0.0000 0.0000 0.0000
Mn 0.5000 0.5000 0.5000
P 0.0000 0.5000 0.5000



4.
Computed, not measured: a crystal of Mn2ZnP relaxed with PBEsol at the SCAN level of DFT.

## Properties
DOS(E_F) = 3.28 states/eV per cell
Total magnetization = 4.66 μB per formula unit
DFT formation energy = -0.188 eV per atom
Total energy = -15.294 eV/atom

Cell: 3.3464 4.1301 6.8542 Å, 90.00 90.00 90.00°
Space group Immm (No. 71)
Asymmetric unit:
Mn 0.0000 0.0000 0.2187
Zn 0.0000 0.5000 0.0000
P 0.0000 0.5000 0.5000